Density functional theory data (GGA-PBE) for a relaxed HoLuThCd crystal.

Unit cell a=5.4459 b=5.4459 c=5.4459 alpha=60.00 beta=60.00 gamma=60.00
Element x y z (fractional)
Lu  0.7500  0.7500  0.7500
Ho  0.5000  0.5000  0.5000
Th  0.0000  0.0000  0.0000
Cd  0.2500  0.2500  0.2500

Summary:
- DFT total energy (eV/atom) = -4.32
- E_form (eV per atom) = 0.03